# YThIn | Alexandria via LeMat-Bulk | GGA-PBE | optimized geometry
# Total magnetic moment = 0.000 μB/atom
# Space-group type = P3m1, No. 156
# Relative energy among the computed polymorphs = 210 meV per atom
data_YThIn
_cell_length_a 3.6212
_cell_length_b 5.3597
_cell_length_c 5.3597
_cell_angle_alpha 120.00
_cell_angle_beta 90.00
_cell_angle_gamma 90.00
_symmetry_space_group_name_H-M 'P 1'
_symmetry_Int_Tables_number 1
_symmetry_space_group_name_Hall 'P 1'
loop_
_atom_site_label
_atom_site_fract_x
_atom_site_fract_y
_atom_site_fract_z
In1 0.7175 0.6667 0.3333
Y1 0.9152 0.0000 0.0000
Th1 0.3672 0.3333 0.6667